1.
Ho2PuTl3Se6 after structural relaxation. Source: Alexandria, functional PBE.

- E_form (uncorrected): -1277 meV/atom

Unit cell a=7.279 b=12.606 c=8.106 alpha=90.00 beta=107.40 gamma=90.00
Space group C2/m (No. 12)
One atom of each set of equivalent atoms:
Ho: 0.000 0.167 0.000 x4
Pu: 0.000 0.500 0.000 x2
Tl: 0.000 0.000 0.500 x2
Tl: 0.000 0.334 0.500 x4
Se: 0.230 0.000 0.203 x4
Se: 0.237 0.331 0.204 x8

2.
AlHg2Bi2 after structural relaxation. Source: Alexandria, functional PBE.

- ΔE_f: 0.2942 eV/atom

Unit cell a=9.023 b=9.023 c=3.523 alpha=90.00 beta=90.00 gamma=90.00
Space group P4/mbm (No. 127)
One atom of each set of equivalent atoms:
Al: 0.000 0.000 0.000 x2
Hg: 0.116 0.384 0.500 x4
Bi: 0.188 0.688 0.000 x4

3.
Li8ScAu6 after structural relaxation. Source: Alexandria, functional PBE.

- ΔE_f: -0.4512 eV/atom

Unit cell a=7.8249 b=7.8249 c=16.0628 alpha=90.00 beta=90.00 gamma=120.00
Space group R-3 (No. 148, hexagonal axes)
One atom of each set of equivalent atoms:
Li: 0.0000 0.0000 0.1708 x6
Li: 0.0009 0.3280 0.7125 x18
Sc: 0.0000 0.0000 0.5000 x3
Au: 0.0035 0.3297 0.8814 x18

4.
CdMo2As after structural relaxation. Source: Alexandria, functional PBE.

- ΔE_f: 0.5007 eV/atom

Unit cell a=4.003 b=4.003 c=8.391 alpha=90.00 beta=90.00 gamma=90.00
Space group I-4m2 (No. 119)
One atom of each set of equivalent atoms:
Cd: 0.000 0.000 0.000 x2
Mo: 0.000 0.000 0.500 x2
Mo: 0.000 0.500 0.750 x2
As: 0.000 0.500 0.250 x2

5.
Y3HoS3 after structural relaxation. Source: Alexandria, functional PBE.

- E_form (uncorrected): -1693 meV/atom

Unit cell a=10.873 b=10.978 c=5.508 alpha=90.00 beta=90.00 gamma=90.00
Space group Cmcm (No. 63)
One atom of each set of equivalent atoms:
Y: 0.000 0.123 0.250 x4
Y: 0.248 0.376 0.250 x8
Ho: 0.000 0.377 0.750 x4
S: 0.000 0.127 0.750 x4
S: 0.248 0.374 0.750 x8

6.
Sc2Pd7Rh after structural relaxation. Source: Alexandria, functional PBE.

- ΔE_f: -0.0610 eV/atom

Unit cell a=8.232 b=15.376 c=2.886 alpha=90.00 beta=90.00 gamma=90.00
Space group Cmmm (No. 65)
One atom of each set of equivalent atoms:
Sc: 0.000 0.175 0.000 x4
Pd: 0.000 0.000 0.000 x2
Pd: 0.000 0.314 0.500 x4
Pd: 0.225 0.406 0.000 x8
Rh: 0.000 0.500 0.500 x2

Which uncorrected energy belongs to each record? In order, -5.57 -2.13 -3.20 -6.31 -6.89 -5.70 eV per atom.